# 1
Computed, not measured: BaPmPb6 after structural relaxation at the PBE-GGA level of DFT.

extended XYZ file:
```
8
Lattice="5.061 0.000 0.000 0.000 5.061 0.000 0.000 0.000 9.917" Properties=species:S:1:pos:R:3 pbc="T T T"
Ba 0.000 0.000 0.000
Pm 0.000 0.000 4.959
Pb 0.000 2.530 2.587
Pb 0.000 2.530 7.330
Pb 2.530 0.000 2.587
Pb 2.530 0.000 7.330
Pb 2.530 2.530 0.000
Pb 2.530 2.530 4.959
```

Calculated values
- DFT formation energy: -0.36 eV per atom
- Fermi-level density of states: 4.731 states/eV/cell
- V: 31.751 A^3/atom
- Calculated total energy: -3.9783 eV/atom
- SG: P4/mmm

=====

# 2
Computed, not measured: NbSeIN2 after structural relaxation at the PBE-GGA level of DFT.

extended XYZ file:
```
5
Lattice="3.935 0.000 0.000 0.000 3.935 0.000 0.000 0.000 6.594" Properties=species:S:1:pos:R:3 pbc="T T T"
Nb 0.000 0.000 0.000
Se 1.967 1.967 3.297
I 1.967 1.967 0.000
N 0.000 1.967 3.297
N 1.967 0.000 3.297
```

Calculated values
- Fermi-level density of states: 5.349 states/eV/cell
- Excess energy over the best structure of this formula in the dataset: 1.471 eV per atom
- V: 20.418 A^3/atom
- Calculated total energy: -4.4125 eV/atom
- SG: P4/mmm

=====

# 3
Computed, not measured: PuScTlSn after structural relaxation at the PBE-GGA level of DFT.

extended XYZ file:
```
4
Lattice="0.000 3.703 3.703 3.703 0.000 3.703 3.703 3.703 0.000" Properties=species:S:1:pos:R:3 pbc="T T T"
Pu 0.000 0.000 0.000
Sc 3.703 3.703 3.703
Tl 1.851 1.851 1.851
Sn 5.554 5.554 5.554
```

Calculated values
- DFT formation energy: -0.26 eV per atom
- Fermi-level density of states: 10.180 states/eV/cell
- V: 25.387 A^3/atom
- Calculated total energy: -7.0167 eV/atom
- SG: F-43m

=====

# 4
Computed, not measured: Cr2SiOs after structural relaxation at the PBE-GGA level of DFT.

extended XYZ file:
```
4
Lattice="4.289 -1.418 0.000 4.289 1.418 0.000 -1.319 0.000 4.201" Properties=species:S:1:pos:R:3 pbc="T T T"
Cr 0.000 0.000 0.000
Cr 0.998 0.000 3.620
Si 3.637 0.000 2.161
Os 6.021 0.000 1.559
```

Calculated values
- Fermi-level density of states: 3.971 states/eV/cell
- V: 12.775 A^3/atom
- Calculated total energy: -9.0812 eV/atom
- SG: Cm